Entry 1:
{
  "formula": "MnSbW2",
  "functional": "SCAN",
  "state": "PBEsol geometry",
  "lattice_angstrom": [[3.156, 0.000, 0.000], [0.000, 3.156, 0.000], [0.000, 0.000, 6.195]],
  "species": ["W", "W", "Mn", "Sb"],
  "fractional_positions": [[0.500, 0.500, 0.273], [0.000, 0.000, 0.010], [0.000, 0.000, 0.478], [0.500, 0.500, 0.739]],
  "formation_energy_uncorrected_kj_per_mol_atoms": 43.24
}



Entry 2:
{
  "formula": "Mn2SbW",
  "functional": "SCAN",
  "state": "PBEsol geometry",
  "lattice_angstrom": [[-1.740, 0.860, -3.871], [0.103, -2.988, -3.132], [-3.651, -1.983, -1.222]],
  "species": ["Mn", "Mn", "W", "Sb"],
  "fractional_positions": [[0.000, 0.000, 0.000], [0.750, 0.750, 0.750], [0.250, 0.250, 0.250], [0.500, 0.500, 0.500]],
  "formation_energy_uncorrected_kj_per_mol_atoms": 25.71
}



Entry 3:
{
  "formula": "Mn2SbW",
  "functional": "SCAN",
  "state": "PBEsol geometry",
  "lattice_angstrom": [[4.163, 0.000, 0.000], [0.000, 4.163, -0.062], [-2.082, -2.035, 3.185]],
  "species": ["Sb", "Mn", "Mn", "W"],
  "fractional_positions": [[0.000, 0.500, 0.000], [0.750, 0.750, 0.500], [0.250, 0.250, 0.500], [0.500, 0.000, 0.000]],
  "formation_energy_uncorrected_kj_per_mol_atoms": 28.60
}



Entry 4:
{
  "formula": "MnSbW",
  "functional": "SCAN",
  "state": "PBEsol geometry",
  "lattice_angstrom": [[-0.462, 2.149, -3.703], [-0.435, -2.157, -3.701], [-3.789, -0.025, -2.045]],
  "species": ["Sb", "Mn", "W"],
  "fractional_positions": [[0.500, 0.500, 0.500], [0.000, 0.000, 0.000], [0.750, 0.750, 0.750]],
  "formation_energy_uncorrected_kj_per_mol_atoms": 55.96
}



Entry 5:
{
  "formula": "MnZn2SbW",
  "functional": "SCAN",
  "state": "PBEsol geometry",
  "lattice_angstrom": [[-2.174, 0.245, -3.834], [2.743, -3.244, -1.762], [-2.916, -3.250, 1.446]],
  "species": ["Zn", "Zn", "Mn", "Sb", "W"],
  "fractional_positions": [[0.000, 0.500, 0.000], [0.000, 0.000, 0.500], [0.000, 0.000, 0.000], [0.500, 0.500, 0.500], [0.500, 0.000, 0.000]],
  "formation_energy_uncorrected_kj_per_mol_atoms": 95.77
}



Entry 6:
{
  "formula": "YMnSb4",
  "functional": "SCAN",
  "state": "PBEsol geometry",
  "lattice_angstrom": [[-4.294, -1.846, 3.933], [-3.782, -4.549, -1.521], [0.503, -5.435, 2.741]],
  "species": ["Sb", "Sb", "Sb", "Sb", "Y", "Mn"],
  "fractional_positions": [[0.375, 0.876, 0.375], [0.375, 0.375, 0.375], [0.876, 0.375, 0.375], [0.375, 0.375, 0.876], [0.750, 0.750, 0.750], [0.000, 0.000, 0.000]],
  "formation_energy_uncorrected_kj_per_mol_atoms": 13.16
}



Entry 7:
{
  "formula": "YMn2Sb2",
  "functional": "SCAN",
  "state": "PBEsol geometry",
  "lattice_angstrom": [[4.637, 0.000, 0.000], [0.000, 4.637, 0.000], [-2.318, -2.318, 4.377]],
  "species": ["Mn", "Mn", "Y", "Sb", "Sb"],
  "fractional_positions": [[0.386, 0.386, 0.773], [0.614, 0.614, 0.227], [0.000, 0.000, 0.000], [0.750, 0.250, 0.500], [0.250, 0.750, 0.500]],
  "formation_energy_uncorrected_kj_per_mol_atoms": -13.70
}



Entry 8:
{
  "formula": "YMnSb",
  "functional": "SCAN",
  "state": "PBEsol geometry",
  "lattice_angstrom": [[3.859, 0.000, 0.000], [0.000, 4.443, 0.000], [0.000, -2.221, 3.847]],
  "species": ["Mn", "Sb", "Y"],
  "fractional_positions": [[0.000, 0.000, 0.000], [0.000, 0.333, 0.667], [0.500, 0.667, 0.333]],
  "formation_energy_uncorrected_kj_per_mol_atoms": -58.34
}